The following is a PBE-GGA calculation of a geometry-optimized DySiAsO structure, from the Open Quantum Materials Database.

Results
energy	-6.392	eV/atom

Lattice parameters (Å, degrees): 3.7125 6.0135 7.0248 90.00 90.00 90.00
Closest atoms and distances in Å follow each position.
Sites, in units of the cell vectors:
1 Dy 0.0000 0.2426 0.0000  2 O 2.24
2 Dy 0.0000 0.7574 0.5000  2 O 2.24
3 Si 0.5000 0.1240 0.6086  1 O 1.69
4 Si 0.5000 0.8760 0.1086  1 O 1.69
5 As 0.0000 0.2705 0.4220  2 Si 2.44
6 As 0.0000 0.7295 0.9220  2 Si 2.44
7 O 0.5000 0.2550 0.8217  1 Si 1.69
8 O 0.5000 0.7450 0.3217  1 Si 1.69

The following is a PBE-GGA calculation of a geometry-optimized ZnBPd2 structure, from the Open Quantum Materials Database.

Results
energy	-4.178	eV/atom

Lattice parameters (Å, degrees): 4.2080 4.2080 4.2080 60.00 60.00 60.00
Closest atoms and distances in Å follow each position.
Sites, in units of the cell vectors:
1 Zn 0.0000 0.0000 0.0000  4 B 2.58, 4 Pd 2.58
2 B 0.7500 0.7500 0.7500  4 Pd 2.58, 4 Zn 2.58
3 Pd 0.2500 0.2500 0.2500  4 Pd 2.58, 4 Zn 2.58
4 Pd 0.5000 0.5000 0.5000  4 B 2.58, 4 Pd 2.58